# 1
A plane-wave DFT calculation with PBE-GGA was carried out for Pr2NdGe2Au2 after structural relaxation.

Properties
As for the formation energy: -0.6323 eV per atom.

Unit cell a=4.5327 b=4.5327 c=29.8347 alpha=90.00 beta=90.00 gamma=120.00
Space group R-3m (No. 166, hexagonal axes)
Unique sites:
Pr  0.0000  0.0000  0.1271 (multiplicity 6)
Nd  0.0000  0.0000  0.0000 (multiplicity 3)
Ge  0.0000  0.0000  0.2592 (multiplicity 6)
Au  0.0000  0.0000  0.3954 (multiplicity 6)

---

# 2
A plane-wave DFT calculation with PBE-GGA was carried out for NdGe2Pt5Au after structural relaxation.

Properties
As for the formation energy: -0.4923 eV per atom.

Unit cell a=4.200 b=4.200 c=9.336 alpha=90.00 beta=90.00 gamma=90.00
Space group P4/mmm (No. 123)
Unique sites:
Nd  0.000  0.000  0.000 (multiplicity 1)
Ge  0.500  0.500  0.371 (multiplicity 2)
Pt  0.000  0.500  0.232 (multiplicity 4)
Pt  0.500  0.500  0.000 (multiplicity 1)
Au  0.000  0.000  0.500 (multiplicity 1)

---

# 3
A plane-wave DFT calculation with PBE-GGA was carried out for NdGePt2Au2 after structural relaxation.

Properties
As for the formation energy: -0.0537 eV per atom.

Unit cell a=4.195 b=4.195 c=16.171 alpha=90.00 beta=90.00 gamma=90.00
Space group I4/mmm (No. 139)
Unique sites:
Nd  0.000  0.000  0.000 (multiplicity 2)
Ge  0.000  0.000  0.500 (multiplicity 2)
Pt  0.000  0.000  0.359 (multiplicity 4)
Au  0.000  0.500  0.250 (multiplicity 4)

---

# 4
A plane-wave DFT calculation with PBE-GGA was carried out for Nd2Ge4Pt3Au after structural relaxation.

Properties
As for the formation energy: -0.8519 eV per atom.

Unit cell a=4.414 b=4.414 c=10.129 alpha=90.00 beta=90.00 gamma=90.00
Space group P-4m2 (No. 115)
Unique sites:
Nd  0.000  0.500  0.249 (multiplicity 2)
Ge  0.000  0.000  0.000 (multiplicity 1)
Ge  0.000  0.500  0.637 (multiplicity 2)
Ge  0.500  0.500  0.000 (multiplicity 1)
Pt  0.000  0.500  0.880 (multiplicity 2)
Pt  0.500  0.500  0.500 (multiplicity 1)
Au  0.000  0.000  0.500 (multiplicity 1)

---

# 5
A plane-wave DFT calculation with PBE-GGA was carried out for Nd2Ge3Pt4Au after structural relaxation.

Properties
As for the formation energy: -0.8272 eV per atom.

Unit cell a=4.378 b=4.378 c=10.403 alpha=90.00 beta=90.00 gamma=90.00
Space group P-4m2 (No. 115)
Unique sites:
Nd  0.000  0.500  0.245 (multiplicity 2)
Ge  0.000  0.000  0.000 (multiplicity 1)
Ge  0.000  0.500  0.624 (multiplicity 2)
Pt  0.000  0.000  0.500 (multiplicity 1)
Pt  0.000  0.500  0.854 (multiplicity 2)
Pt  0.500  0.500  0.500 (multiplicity 1)
Au  0.500  0.500  0.000 (multiplicity 1)

---

# 6
A plane-wave DFT calculation with PBE-GGA was carried out for Nd3Ge6Pt2Au after structural relaxation.

Properties
As for the formation energy: -0.3965 eV per atom.

Unit cell a=5.9955 b=5.9955 c=8.4046 alpha=90.00 beta=90.00 gamma=120.00
Space group P-3m1 (No. 164)
Unique sites:
Nd  0.0000  0.0000  0.0000 (multiplicity 1)
Nd  0.3333  0.6667  0.6301 (multiplicity 2)
Ge  0.1888  0.3776  0.2761 (multiplicity 6)
Pt  0.3333  0.6667  0.0185 (multiplicity 2)
Au  0.0000  0.0000  0.5000 (multiplicity 1)

---

# 7
A plane-wave DFT calculation with PBE-GGA was carried out for NdPu2Ge2Au2 after structural relaxation.

Properties
As for the formation energy: -0.4903 eV per atom.

Unit cell a=4.5732 b=4.5732 c=26.0914 alpha=90.00 beta=90.00 gamma=120.00
Space group R-3m (No. 166, hexagonal axes)
Unique sites:
Nd  0.0000  0.0000  0.0000 (multiplicity 3)
Pu  0.0000  0.0000  0.1418 (multiplicity 6)
Ge  0.0000  0.0000  0.2627 (multiplicity 6)
Au  0.0000  0.0000  0.4191 (multiplicity 6)

---

# 8
A plane-wave DFT calculation with PBE-GGA was carried out for Nd2Ge4RhAu3 after structural relaxation.

Properties
As for the formation energy: -0.5901 eV per atom.

Unit cell a=4.334 b=4.334 c=10.905 alpha=90.00 beta=90.00 gamma=90.00
Space group P-4m2 (No. 115)
Unique sites:
Nd  0.000  0.500  0.236 (multiplicity 2)
Ge  0.000  0.000  0.500 (multiplicity 1)
Ge  0.000  0.500  0.874 (multiplicity 2)
Ge  0.500  0.500  0.500 (multiplicity 1)
Rh  0.500  0.500  0.000 (multiplicity 1)
Au  0.000  0.000  0.000 (multiplicity 1)
Au  0.000  0.500  0.642 (multiplicity 2)

---

# 9
A plane-wave DFT calculation with PBE-GGA was carried out for Nd2Ge3Rh4Au after structural relaxation.

Properties
As for the formation energy: -0.7562 eV per atom.

Unit cell a=4.233 b=4.233 c=10.590 alpha=90.00 beta=90.00 gamma=90.00
Space group P-4m2 (No. 115)
Unique sites:
Nd  0.000  0.500  0.248 (multiplicity 2)
Ge  0.000  0.000  0.000 (multiplicity 1)
Ge  0.000  0.500  0.623 (multiplicity 2)
Rh  0.000  0.000  0.500 (multiplicity 1)
Rh  0.000  0.500  0.850 (multiplicity 2)
Rh  0.500  0.500  0.500 (multiplicity 1)
Au  0.500  0.500  0.000 (multiplicity 1)

---

# 10
A plane-wave DFT calculation with PBE-GGA was carried out for Nd4GeAuSe2 after structural relaxation.

Properties
As for the uncorrected formation energy: -1.320 eV/atom.

Unit cell a=7.319 b=4.258 c=7.543 alpha=90.00 beta=108.74 gamma=90.00
Space group P2/m (No. 10)
Unique sites:
Nd  0.242  0.000  0.247 (multiplicity 2)
Nd  0.243  0.500  0.746 (multiplicity 2)
Ge  0.000  0.500  0.000 (multiplicity 1)
Au  0.500  0.000  0.000 (multiplicity 1)
Se  0.000  0.000  0.500 (multiplicity 1)
Se  0.500  0.500  0.500 (multiplicity 1)

---

# 11
A plane-wave DFT calculation with PBE-GGA was carried out for Sr2NdGe3Au12 after structural relaxation.

Properties
As for the formation energy: -0.1540 eV per atom.

Unit cell a=9.2869 b=9.2869 c=18.3338 alpha=90.00 beta=90.00 gamma=120.00
Space group R-3m (No. 166, hexagonal axes)
Unique sites:
Sr  0.0000  0.0000  0.0986 (multiplicity 6)
Nd  0.0000  0.0000  0.5000 (multiplicity 3)
Ge  0.0000  0.5000  0.0000 (multiplicity 9)
Au  0.0210  0.5105  0.3214 (multiplicity 18)
Au  0.0238  0.5119  0.8600 (multiplicity 18)

---

# 12
A plane-wave DFT calculation with PBE-GGA was carried out for Nd6Ge2Te3Au after structural relaxation.

Properties
As for the uncorrected formation energy: -1.163 eV/atom.

Unit cell a=19.350 b=4.380 c=8.938 alpha=90.00 beta=104.83 gamma=90.00
Space group C2/m (No. 12)
Unique sites:
Nd  0.007  0.000  0.248 (multiplicity 4)
Nd  0.167  0.500  0.102 (multiplicity 4)
Nd  0.173  0.500  0.568 (multiplicity 4)
Ge  0.166  0.000  0.331 (multiplicity 4)
Te  0.000  0.500  0.500 (multiplicity 2)
Te  0.165  0.000  0.832 (multiplicity 4)
Au  0.000  0.500  0.000 (multiplicity 2)

---

| no. | DOS at the Fermi energy (states/eV/atom) |
| --- | --- |
| 1 | 0.602 |
| 2 | 0.346 |
| 3 | 1.108 |
| 4 | 0.580 |
| 5 | 0.535 |
| 6 | 0.459 |
| 7 | 1.988 |
| 8 | 0.645 |
| 9 | 0.468 |
| 10 | 0.657 |
| 11 | 0.203 |
| 12 | 0.584 |